# 1
KAcNbO4: optimized geometry, PBE.

Cell: 6.9590 7.3478 10.2502 Å, 90.00 90.00 90.00°
Space group Imma (No. 74)
Symmetry-distinct sites (fractional):
K1 0.2500 0.2500 0.2500 [4 per cell]
Ac1 0.0000 0.0000 0.0000 [4 per cell]
Nb1 0.0000 0.2500 0.6414 [4 per cell]
O1 0.0000 0.0444 0.7508 [8 per cell]
O2 0.2262 0.2500 0.5338 [8 per cell]

The total moment is 0.0000 μB per atom.



# 2
K4AcNb3O12: optimized geometry, PBE.

Cell: 8.5171 8.5171 8.5171 Å, 90.00 90.00 90.00°
Space group Im-3m (No. 229)
Symmetry-distinct sites (fractional):
K1 0.2500 0.2500 0.2500 [8 per cell]
Ac1 0.0000 0.0000 0.0000 [2 per cell]
Nb1 0.0000 0.0000 0.5000 [6 per cell]
O1 0.0000 0.0000 0.2759 [12 per cell]
O2 0.0000 0.2500 0.5000 [12 per cell]

The total moment is 0.0836 μB per atom.



# 3
K3AcNb2O9: optimized geometry, PBE.

Cell: 6.0708 6.0708 7.8108 Å, 90.00 90.00 120.00°
Space group P-3m1 (No. 164)
Symmetry-distinct sites (fractional):
K1 0.0000 0.0000 0.0000 [1 per cell]
K2 0.3333 0.6667 0.7114 [2 per cell]
Ac1 0.0000 0.0000 0.5000 [1 per cell]
Nb1 0.3333 0.6667 0.1683 [2 per cell]
O1 0.0000 0.5000 0.0000 [3 per cell]
O2 0.1777 0.3555 0.2950 [6 per cell]

The total moment is 0.1379 μB per atom.



# 4
KAcNb2O8: optimized geometry, PBE.

Cell: 7.9984 7.9984 7.1783 Å, 90.00 90.00 90.00°
Space group I-4m2 (No. 119)
Symmetry-distinct sites (fractional):
K1 0.0000 0.0000 0.0000 [2 per cell]
Ac1 0.0000 0.5000 0.2500 [2 per cell]
Nb1 0.0000 0.0000 0.5000 [2 per cell]
Nb2 0.0000 0.5000 0.7500 [2 per cell]
O1 0.0000 0.1922 0.3495 [8 per cell]
O2 0.0000 0.3243 0.9233 [8 per cell]

The total moment is 0.1697 μB per atom.



no.,energy (eV/cell),D(E_F) (states/eV/f.u.)
1,-209.25,1.38
2,-285.61,11.49
3,-105.82,4.55
4,-184.21,11.67